Entry 1:
# CdSnH2Pt | Alexandria | PBE-GGA | optimized geometry
data_CdSnH2Pt
_chemical_formula_sum 'Cd1 Sn1 H2 Pt1'
_space_group_name_H-M_alt 'P 1'
_space_group_IT_number 1
_cell_length_a 3.714
_cell_length_b 3.714
_cell_length_c 7.261
_cell_angle_alpha 90.00
_cell_angle_beta 90.00
_cell_angle_gamma 90.00
loop_
_space_group_symop_operation_xyz
'x,y,z'
loop_
_atom_site_label
_atom_site_fract_x
_atom_site_fract_y
_atom_site_fract_z
Cd1 0.000 0.000 0.000
Sn1 0.000 0.000 0.500
H1 0.000 0.500 0.000
H2 0.500 0.000 0.000
Pt1 0.500 0.500 0.500
# Uncorrected energy, eV/atom: -3.242
# D(E_F), states/eV per cell: 0.9

---

Entry 2:
# CdSn2HPt | Alexandria | PBE-GGA | optimized geometry
data_CdSn2HPt
_chemical_formula_sum 'Cd1 Sn2 H1 Pt1'
_space_group_name_H-M_alt 'P 1'
_space_group_IT_number 1
_cell_length_a 5.510
_cell_length_b 5.510
_cell_length_c 3.380
_cell_angle_alpha 90.00
_cell_angle_beta 90.00
_cell_angle_gamma 90.00
loop_
_space_group_symop_operation_xyz
'x,y,z'
loop_
_atom_site_label
_atom_site_fract_x
_atom_site_fract_y
_atom_site_fract_z
Cd1 0.000 0.000 0.000
Sn1 0.000 0.500 0.500
Sn2 0.500 0.000 0.500
H1 0.500 0.500 0.000
Pt1 0.500 0.500 0.500
# Uncorrected energy, eV/atom: -3.713
# D(E_F), states/eV per cell: 2.1

---

Entry 3:
# SrCd2HPt | Alexandria | PBE-GGA | optimized geometry
data_SrCd2HPt
_chemical_formula_sum 'Sr1 Cd2 H1 Pt1'
_space_group_name_H-M_alt 'P 1'
_space_group_IT_number 1
_cell_length_a 5.944
_cell_length_b 5.944
_cell_length_c 3.977
_cell_angle_alpha 90.00
_cell_angle_beta 90.00
_cell_angle_gamma 90.00
loop_
_space_group_symop_operation_xyz
'x,y,z'
loop_
_atom_site_label
_atom_site_fract_x
_atom_site_fract_y
_atom_site_fract_z
Sr1 0.000 0.000 0.000
Cd1 0.000 0.500 0.000
Cd2 0.500 0.000 0.000
H1 0.000 0.000 0.500
Pt1 0.500 0.500 0.500
# Uncorrected energy, eV/atom: -1.813
# D(E_F), states/eV per cell: 2.9

---

Which of these has the highest uncorrected energy?
SrCd2HPt